*i*
Nd3Y4Sc2: relaxed, PBE.

Output
Total magnetic moment: 0.00 μB per formula unit
Space group: No. 15

```
18
Lattice="-3.835 -0.448 5.496 2.822 -7.229 8.338 4.368 2.527 10.212" Properties=species:S:1:pos:R:3 pbc="T T T"
Nd 0.723 -2.659 13.402
Y 1.372 -5.695 11.620
Nd -2.372 -0.638 8.021
Nd 3.966 -3.744 18.963
Sc -1.671 -4.073 11.083
Y -1.369 -0.692 11.481
Sc 0.906 0.312 9.134
Y 2.932 -5.343 8.504
Y 0.162 -2.909 8.265
Sc 2.449 -5.461 14.911
Y 4.723 -4.457 12.565
Y 0.423 0.194 15.542
Y 1.983 0.545 12.425
Sc 5.026 -1.076 12.963
Nd 5.726 -4.511 16.025
Nd -0.611 -1.405 5.083
Y 3.192 -2.240 15.781
Nd 2.632 -2.490 10.644
```


*ii*
Nd3Y4Sc2: relaxed, PBE.

Output
Total magnetic moment: 0.00 μB per formula unit
Space group: No. 12

```
9
Lattice="-1.551 -1.077 3.045 9.207 -3.035 5.725 -5.517 7.355 1.898" Properties=species:S:1:pos:R:3 pbc="T T T"
Y 1.288 4.126 8.439
Y -1.612 1.297 3.853
Nd 2.770 -0.990 5.277
Nd 1.845 2.160 3.811
Sc 4.576 -1.139 8.252
Nd -0.632 4.233 5.391
Y 0.851 -0.882 2.229
Y 3.750 1.946 6.814
Sc -2.437 4.383 2.416
```


The most stable of them is *ii*.


*i*
NdY8Sc2: relaxed, PBE.

Output
Total magnetic moment: 0.00 μB per formula unit
Space group: No. 12

```
11
Lattice="-1.161 0.579 5.626 -5.338 -5.753 4.152 3.568 -7.398 3.829" Properties=species:S:1:pos:R:3 pbc="T T T"
Y -3.913 -2.920 6.390
Sc -0.265 -4.619 2.752
Y -2.286 -10.740 7.585
Sc -1.505 -8.532 5.229
Y 0.363 -5.206 5.904
Nd -0.581 0.290 2.813
Y -2.586 -2.253 3.389
Y -0.645 -1.832 6.022
Y -2.893 -5.488 4.588
Y -3.294 -7.366 7.703
Y -0.038 -7.083 9.019
```


*ii*
NdY8Sc2: relaxed, PBE.

Output
Total magnetic moment: 0.00 μB per formula unit
Space group: No. 71

```
11
Lattice="5.161 0.000 -1.567 -1.001 7.411 -3.296 0.001 -0.375 9.287" Properties=species:S:1:pos:R:3 pbc="T T T"
Y 2.884 3.133 0.216
Y 2.471 6.189 -1.144
Y 1.691 0.846 5.567
Y -0.701 5.192 -2.309
Sc 0.330 5.034 1.087
Y 3.476 5.938 2.164
Y 4.863 1.844 6.733
Y 1.278 3.902 4.208
Sc 3.832 2.002 3.337
Y 0.686 1.098 2.260
Nd 2.581 0.000 -0.784
```


The most stable of them is *ii*.


*i*
NdY6Sc: relaxed, PBE.

Output
Total magnetic moment: 0.00 μB per formula unit
Space group: No. 2

```
8
Lattice="-3.561 4.959 -2.908 -0.362 -3.303 -5.594 -6.583 0.642 1.758" Properties=species:S:1:pos:R:3 pbc="T T T"
Sc -0.181 -1.651 -2.797
Nd 0.000 0.000 0.000
Y -3.671 -1.619 -3.531
Y -5.657 0.731 -5.081
Y -1.739 1.359 -2.705
Y -8.766 0.939 -4.040
Y -4.849 1.567 -1.664
Y -6.835 3.917 -3.213
```


*ii*
NdY6Sc: relaxed, PBE.

Output
Total magnetic moment: 0.00 μB per formula unit
Space group: No. 148

```
8
Lattice="-0.940 4.287 7.221 0.561 -3.887 8.752 3.709 0.392 5.192" Properties=species:S:1:pos:R:3 pbc="T T T"
Nd 1.665 0.396 10.582
Y 2.172 2.174 15.454
Y 0.640 1.574 7.448
Y 2.933 -0.027 18.151
Sc 0.000 0.000 0.000
Y 1.157 -1.383 5.710
Y 2.690 -0.782 13.716
Y 0.397 0.819 3.014
```


The most stable of them is *ii*.


*i*
Nd2Y3Sc: relaxed, PBE.

Output
Total magnetic moment: 0.00 μB per formula unit
Space group: No. 65

```
12
Lattice="-2.575 -0.470 -4.278 -2.745 -9.377 2.683 -3.467 7.686 4.183" Properties=species:S:1:pos:R:3 pbc="T T T"
Y -2.702 -1.436 1.784
Y -4.074 -6.125 3.126
Nd -4.139 1.866 2.287
Nd -4.648 -4.027 0.301
Nd -5.512 -2.823 3.628
Y -1.974 -2.579 -1.468
Y -3.346 -7.268 -0.127
Y -6.086 -0.726 0.803
Nd -3.276 0.661 -1.041
Y -4.714 3.963 -0.538
Sc 0.000 0.000 0.000
Sc -1.373 -4.689 1.342
```


*ii*
Nd2Y3Sc: relaxed, PBE.

Output
Total magnetic moment: 0.00 μB per formula unit
Space group: No. 58

```
12
Lattice="-1.565 -0.648 2.908 -0.603 -6.349 -1.739 15.351 -3.506 7.478" Properties=species:S:1:pos:R:3 pbc="T T T"
Y 11.403 -7.997 6.300
Sc 7.676 -1.753 3.739
Y 10.234 -3.984 4.618
Y 0.000 0.000 0.000
Nd 12.144 -4.905 7.388
Nd 9.497 -7.041 3.540
Nd 5.252 -2.813 2.199
Y 6.592 -5.251 4.323
Y 1.781 -2.506 2.347
Nd 1.040 -5.597 1.259
Sc -1.084 -3.498 0.584
Y 4.514 -5.870 1.120
```


The most stable of them is *i*.


*i*
Nd2YSc: relaxed, PBE.

Output
Total magnetic moment: 0.00 μB per formula unit
Space group: No. 123

```
4
Lattice="-1.868 2.365 3.899 0.166 -4.286 2.679 4.677 1.147 1.545" Properties=species:S:1:pos:R:3 pbc="T T T"
Sc 1.488 -0.387 4.062
Nd 2.338 0.573 0.772
Nd 0.083 -2.143 1.340
Y -0.934 1.183 1.950
```


*ii*
Nd2YSc: relaxed, PBE.

Output
Total magnetic moment: 0.00 μB per formula unit
Space group: No. 225

```
4
Lattice="5.642 0.000 0.000 2.821 4.887 0.000 2.821 1.629 4.607" Properties=species:S:1:pos:R:3 pbc="T T T"
Sc 0.000 0.000 0.000
Y 5.642 3.258 2.304
Nd 8.464 4.887 3.455
Nd 2.821 1.629 1.152
```


The most stable of them is *i*.


*i*
Nd2YSc: relaxed, PBE.

Output
Total magnetic moment: 0.00 μB per formula unit
Space group: No. 166

```
4
Lattice="3.568 0.000 0.000 1.784 3.090 0.000 1.784 1.030 11.398" Properties=species:S:1:pos:R:3 pbc="T T T"
Nd 5.352 3.090 8.667
Sc 0.000 0.000 0.000
Nd 1.784 1.030 2.731
Y 3.568 2.060 5.699
```


*ii*
Nd2YSc: relaxed, PBE.

Output
Total magnetic moment: 0.00 μB per formula unit
Space group: No. 123

```
4
Lattice="3.625 0.000 0.000 0.000 3.625 0.000 0.000 0.000 9.613" Properties=species:S:1:pos:R:3 pbc="T T T"
Nd 0.000 0.000 7.335
Y 1.813 1.813 4.806
Sc 1.813 1.813 0.000
Nd 0.000 0.000 2.278
```


The most stable of them is *ii*.


*i*
Nd2YSc: relaxed, PBE.

Output
Total magnetic moment: 0.00 μB per formula unit
Space group: No. 12

```
4
Lattice="-2.585 -1.955 1.515 3.878 -3.877 -2.610 2.683 0.698 5.478" Properties=species:S:1:pos:R:3 pbc="T T T"
Sc -1.293 -0.977 0.758
Y 1.342 0.349 2.739
Nd 1.917 -2.195 0.437
Nd 2.060 -2.939 3.946
```


*ii*
Nd2YSc: relaxed, PBE.

Output
Total magnetic moment: 0.00 μB per formula unit
Space group: No. 160

```
4
Lattice="-0.406 -3.539 -0.294 2.359 -1.919 -1.878 6.938 -3.325 8.715" Properties=species:S:1:pos:R:3 pbc="T T T"
Nd 2.161 -2.181 1.543
Nd 5.426 -2.963 6.444
Sc 8.232 -6.962 7.254
Y 4.457 -4.394 3.289
```


The most stable of them is *i*.


*i*
Nd3Y7Sc: relaxed, PBE.

Output
Total magnetic moment: 0.00 μB per formula unit
Space group: No. 12

```
11
Lattice="6.366 -0.047 0.355 0.340 7.635 0.986 -0.091 -0.053 7.706" Properties=species:S:1:pos:R:3 pbc="T T T"
Y 1.691 0.714 3.520
Y 0.124 3.791 4.346
Y 4.924 6.822 5.528
Y 5.066 1.810 2.396
Y 4.780 4.256 7.770
Nd 3.183 -0.023 0.178
Y 1.549 5.726 6.652
Nd -0.017 1.271 6.549
Y 1.835 3.280 1.277
Nd 6.632 6.265 2.498
Sc 3.307 3.768 4.524
```


*ii*
Nd3Y7Sc: relaxed, PBE.

Output
Total magnetic moment: 0.00 μB per formula unit
Space group: No. 156

```
11
Lattice="8.644 0.000 0.000 0.000 7.083 0.000 0.000 -3.542 6.134" Properties=species:S:1:pos:R:3 pbc="T T T"
Y 1.064 -1.752 5.101
Y 3.866 3.542 4.079
Y 3.866 1.780 1.027
Nd 6.743 -1.759 3.074
Sc 3.839 0.000 4.090
Nd 6.743 0.000 6.120
Y 1.036 3.542 2.045
Y 3.866 5.304 1.027
Y 1.064 1.752 5.101
Y 1.064 0.000 2.067
Nd 6.743 1.759 3.074
```


The most stable of them is *ii*.